Record 1
# SrAcSm

An optimized crystal structure of SrAcSm (GGA-PBE, Alexandria via LeMat-Bulk).

Calculated values
ΔH_f (0 K)   0.09 eV/atom
Polymorph energy (0 for the lowest one)   38 meV/atom
Total moment   0.0 Bohr magnetons per cell
VASP energy   -3.413 eV/atom

CIF file:
```
data_SrAcSm
_chemical_formula_sum 'Sr1 Ac1 Sm1'
_space_group_name_H-M_alt 'P 3 m 1'
_space_group_IT_number 156
_cell_length_a 3.9299
_cell_length_b 3.9299
_cell_length_c 9.6724
_cell_angle_alpha 90.00
_cell_angle_beta 90.00
_cell_angle_gamma 120.00
loop_
_space_group_symop_operation_xyz
'x,y,z'
'-y,x-y,z'
'-x+y,-x,z'
'-y,-x,z'
'-x+y,y,z'
'x,x-y,z'
loop_
_atom_site_label
_atom_site_type_symbol
_atom_site_fract_x
_atom_site_fract_y
_atom_site_fract_z
Sr1 Sr 0.0000 0.0000 0.0000
Ac1 Ac 0.6667 0.3333 0.3630
Sm1 Sm 0.3333 0.6667 0.6651
```

Record 2
# BaLa2Bi2

An optimized crystal structure of BaLa2Bi2 (GGA-PBE, Alexandria via LeMat-Bulk).

Calculated values
ΔH_f (0 K)   -0.70 eV/atom
Polymorph energy (0 for the lowest one)   109 meV/atom
Total moment   0.0 Bohr magnetons per cell
VASP energy   -4.608 eV/atom

CIF file:
```
data_BaLa2Bi2
_chemical_formula_sum 'Ba2 La4 Bi4'
_space_group_name_H-M_alt 'I 4/m m m'
_space_group_IT_number 139
_space_group_name_Hall '-I 4 2'
_cell_length_a 4.988
_cell_length_b 4.988
_cell_length_c 15.772
_cell_angle_alpha 90.00
_cell_angle_beta 90.00
_cell_angle_gamma 90.00
loop_
_atom_site_label
_atom_site_type_symbol
_atom_site_fract_x
_atom_site_fract_y
_atom_site_fract_z
Ba1 Ba 0.000 0.000 0.000
La1 La 0.000 0.500 0.250
Bi1 Bi 0.000 0.000 0.392
```

Record 3
# NdHf2Nb

An optimized crystal structure of NdHf2Nb (GGA-PBE, Alexandria via LeMat-Bulk).

Calculated values
ΔH_f (0 K)   0.14 eV/atom
Polymorph energy (0 for the lowest one)   0 meV/atom
Total moment   0.0 Bohr magnetons per cell
VASP energy   -8.543 eV/atom

CIF file:
```
data_NdHf2Nb
_chemical_formula_sum 'Nd1 Hf2 Nb1'
_space_group_name_H-M_alt 'P 4/m m m'
_space_group_IT_number 123
_space_group_name_Hall '-P 4 2'
_cell_length_a 3.512
_cell_length_b 3.512
_cell_length_c 7.811
_cell_angle_alpha 90.00
_cell_angle_beta 90.00
_cell_angle_gamma 90.00
loop_
_atom_site_label
_atom_site_type_symbol
_atom_site_fract_x
_atom_site_fract_y
_atom_site_fract_z
Nd1 Nd 0.000 0.000 0.000
Hf1 Hf 0.500 0.500 0.301
Nb1 Nb 0.000 0.000 0.500
```

Record 4
# Pr3Zn2GePd9

An optimized crystal structure of Pr3Zn2GePd9 (GGA-PBE, Alexandria via LeMat-Bulk).

Calculated values
ΔH_f (0 K)   -0.54 eV/atom
Total moment   0.0 Bohr magnetons per cell
VASP energy   -5.087 eV/atom

CIF file:
```
data_Pr3Zn2GePd9
_chemical_formula_sum 'Pr3 Zn2 Ge1 Pd9'
_space_group_name_H-M_alt 'P -3 m 1'
_space_group_IT_number 164
_space_group_name_Hall '-P 3 2"'
_cell_length_a 5.7486
_cell_length_b 5.7486
_cell_length_c 11.2276
_cell_angle_alpha 90.00
_cell_angle_beta 90.00
_cell_angle_gamma 120.00
loop_
_atom_site_label
_atom_site_type_symbol
_atom_site_fract_x
_atom_site_fract_y
_atom_site_fract_z
Pr1 Pr 0.0000 0.0000 0.0000
Pr2 Pr 0.3333 0.6667 0.7417
Zn1 Zn 0.3333 0.6667 0.1709
Ge1 Ge 0.0000 0.0000 0.5000
Pd1 Pd 0.0000 0.5000 0.0000
Pd2 Pd 0.1709 0.3417 0.3459
```